# Li2B2Cl7 | Alexandria via LeMat-Bulk | PBE-GGA | relaxed
data_Li2B2Cl7
_chemical_formula_sum 'Li4 B4 Cl14'
_space_group_name_H-M_alt 'C 1 2/m 1'
_space_group_IT_number 12
_space_group_name_Hall '-C 2y'
_cell_length_a 8.986
_cell_length_b 10.097
_cell_length_c 5.621
_cell_angle_alpha 90.00
_cell_angle_beta 109.69
_cell_angle_gamma 90.00
loop_
_atom_site_label
_atom_site_type_symbol
_atom_site_fract_x
_atom_site_fract_y
_atom_site_fract_z
Li1 Li 0.000 0.205 0.000
B1 B 0.214 0.500 0.404
Cl1 Cl 0.000 0.500 0.500
Cl2 Cl 0.117 0.000 0.288
Cl3 Cl 0.226 0.349 0.224
# energy relative to the elements, uncorrected = -0.929 eV per atom
# raw total energy = -0.13472 Ha/atom
# energy relative to the lowest polymorph listed for this composition = 0.0429 eV/atom

# CeErZn2In2 | Alexandria via LeMat-Bulk | PBE-GGA | relaxed
data_CeErZn2In2
_chemical_formula_sum 'Ce1 Er1 Zn2 In2'
_space_group_name_H-M_alt 'P -3 m 1'
_space_group_IT_number 164
_space_group_name_Hall '-P 3 2"'
_cell_length_a 4.6973
_cell_length_b 4.6973
_cell_length_c 7.3758
_cell_angle_alpha 90.00
_cell_angle_beta 90.00
_cell_angle_gamma 120.00
loop_
_atom_site_label
_atom_site_type_symbol
_atom_site_fract_x
_atom_site_fract_y
_atom_site_fract_z
Ce1 Ce 0.0000 0.0000 0.0000
Er1 Er 0.0000 0.0000 0.5000
Zn1 Zn 0.3333 0.6667 0.2786
In1 In 0.3333 0.6667 0.7394
# raw total energy = -0.12708 Ha/atom
# formation energy = -0.371 eV/atom

# SrLi3Sn2 | Alexandria via LeMat-Bulk | PBE-GGA | relaxed
data_SrLi3Sn2
_chemical_formula_sum 'Sr4 Li12 Sn8'
_space_group_name_H-M_alt 'C 1 2/m 1'
_space_group_IT_number 12
_space_group_name_Hall '-C 2y'
_cell_length_a 14.141
_cell_length_b 4.914
_cell_length_c 9.411
_cell_angle_alpha 90.00
_cell_angle_beta 118.70
_cell_angle_gamma 90.00
loop_
_atom_site_label
_atom_site_type_symbol
_atom_site_fract_x
_atom_site_fract_y
_atom_site_fract_z
Sr1 Sr 0.141 0.000 0.021
Li1 Li 0.049 0.000 0.371
Li2 Li 0.088 0.500 0.677
Li3 Li 0.224 0.500 0.548
Sn1 Sn 0.058 0.500 0.195
Sn2 Sn 0.203 0.000 0.707
# raw total energy = -0.11131 Ha/atom
# formation energy = -0.457 eV/atom

# MgBS2 | Alexandria via LeMat-Bulk | PBE-GGA | relaxed
data_MgBS2
_chemical_formula_sum 'Mg4 B4 S8'
_space_group_name_H-M_alt 'I -4 2 d'
_space_group_IT_number 122
_space_group_name_Hall 'I -4 2bw'
_cell_length_a 5.397
_cell_length_b 5.397
_cell_length_c 8.911
_cell_angle_alpha 90.00
_cell_angle_beta 90.00
_cell_angle_gamma 90.00
loop_
_atom_site_label
_atom_site_type_symbol
_atom_site_fract_x
_atom_site_fract_y
_atom_site_fract_z
Mg1 Mg 0.000 0.000 0.000
B1 B 0.000 0.000 0.500
S1 S 0.166 0.250 0.625
# energy relative to the elements, uncorrected = -0.240 eV per atom
# raw total energy = -0.16068 Ha/atom
# energy relative to the lowest polymorph listed for this composition = 0.1236 eV/atom

# Cs2PmAs2Se6 | Alexandria via LeMat-Bulk | PBE-GGA | relaxed
data_Cs2PmAs2Se6
_chemical_formula_sum 'Cs4 Pm2 As4 Se12'
_space_group_name_H-M_alt 'C 1 2/m 1'
_space_group_IT_number 12
_space_group_name_Hall '-C 2y'
_cell_length_a 13.112
_cell_length_b 7.576
_cell_length_c 9.055
_cell_angle_alpha 90.00
_cell_angle_beta 119.09
_cell_angle_gamma 90.00
loop_
_atom_site_label
_atom_site_type_symbol
_atom_site_fract_x
_atom_site_fract_y
_atom_site_fract_z
Cs1 Cs 0.212 0.000 0.200
Pm1 Pm 0.000 0.000 0.500
As1 As 0.047 0.500 0.182
Se1 Se 0.044 0.242 0.784
Se2 Se 0.247 0.000 0.623
# energy relative to the elements, uncorrected = -0.774 eV per atom
# raw total energy = -0.15093 Ha/atom

# BaSrCa2Ir | Alexandria via LeMat-Bulk | PBE-GGA | relaxed
data_BaSrCa2Ir
_chemical_formula_sum 'Ba1 Sr1 Ca2 Ir1'
_space_group_name_H-M_alt 'P 4/m m m'
_space_group_IT_number 123
_space_group_name_Hall '-P 4 2'
_cell_length_a 5.725
_cell_length_b 5.725
_cell_length_c 6.139
_cell_angle_alpha 90.00
_cell_angle_beta 90.00
_cell_angle_gamma 90.00
loop_
_atom_site_label
_atom_site_type_symbol
_atom_site_fract_x
_atom_site_fract_y
_atom_site_fract_z
Ba1 Ba 0.000 0.000 0.000
Sr1 Sr 0.500 0.500 0.000
Ca1 Ca 0.000 0.500 0.500
Ir1 Ir 0.000 0.000 0.500
# raw total energy = -0.12554 Ha/atom
# energy relative to the lowest polymorph listed for this composition = 0.0170 eV/atom
# formation energy = -0.122 eV/atom

# LaZrPb2 | Alexandria via LeMat-Bulk | PBE-GGA | relaxed
data_LaZrPb2
_chemical_formula_sum 'La4 Zr4 Pb8'
_space_group_name_H-M_alt 'I -4 2 d'
_space_group_IT_number 122
_space_group_name_Hall 'I -4 2bw'
_cell_length_a 4.764
_cell_length_b 4.764
_cell_length_c 22.094
_cell_angle_alpha 90.00
_cell_angle_beta 90.00
_cell_angle_gamma 90.00
loop_
_atom_site_label
_atom_site_type_symbol
_atom_site_fract_x
_atom_site_fract_y
_atom_site_fract_z
La1 La 0.000 0.000 0.000
Zr1 Zr 0.000 0.000 0.500
Pb1 Pb 0.213 0.250 0.625
# raw total energy = -0.18641 Ha/atom
# formation energy = 0.151 eV/atom

# Pr3SbIrBr | Alexandria via LeMat-Bulk | PBE-GGA | relaxed
data_Pr3SbIrBr
_chemical_formula_sum 'Pr6 Sb2 Ir2 Br2'
_space_group_name_H-M_alt 'P 1 21/m 1'
_space_group_IT_number 11
_space_group_name_Hall '-P 2yb'
_cell_length_a 8.193
_cell_length_b 4.441
_cell_length_c 10.324
_cell_angle_alpha 90.00
_cell_angle_beta 111.80
_cell_angle_gamma 90.00
loop_
_atom_site_label
_atom_site_type_symbol
_atom_site_fract_x
_atom_site_fract_y
_atom_site_fract_z
Pr1 Pr 0.026 0.250 0.357
Pr2 Pr 0.193 0.250 0.988
Pr3 Pr 0.419 0.750 0.605
Sb1 Sb 0.233 0.750 0.230
Ir1 Ir 0.223 0.250 0.646
Br1 Br 0.365 0.750 0.886
# energy relative to the elements, uncorrected = -0.894 eV per atom
# raw total energy = -0.21043 Ha/atom

# Ba3UBe2O8 | Alexandria via LeMat-Bulk | PBE-GGA | relaxed
data_Ba3UBe2O8
_chemical_formula_sum 'Ba3 U1 Be2 O8'
_space_group_name_H-M_alt 'P -3 m 1'
_space_group_IT_number 164
_space_group_name_Hall '-P 3 2"'
_cell_length_a 5.6692
_cell_length_b 5.6692
_cell_length_c 7.6064
_cell_angle_alpha 90.00
_cell_angle_beta 90.00
_cell_angle_gamma 120.00
loop_
_atom_site_label
_atom_site_type_symbol
_atom_site_fract_x
_atom_site_fract_y
_atom_site_fract_z
Ba1 Ba 0.0000 0.0000 0.0000
Ba2 Ba 0.3333 0.6667 0.7255
U1 U 0.0000 0.0000 0.5000
Be1 Be 0.3333 0.6667 0.2468
O1 O 0.1718 0.3437 0.3360
O2 O 0.3333 0.6667 0.0456
# energy relative to the elements, uncorrected = -2.800 eV per atom
# raw total energy = -0.27135 Ha/atom

> raw total energy of number 1 (Li2B2Cl7)?

-0.13472 Ha/atom

What did the sixth record say?
# BaSrCa2Ir | Alexandria via LeMat-Bulk | PBE-GGA | relaxed
data_BaSrCa2Ir
_chemical_formula_sum 'Ba1 Sr1 Ca2 Ir1'
_space_group_name_H-M_alt 'P 4/m m m'
_space_group_IT_number 123
_space_group_name_Hall '-P 4 2'
_cell_length_a 5.725
_cell_length_b 5.725
_cell_length_c 6.139
_cell_angle_alpha 90.00
_cell_angle_beta 90.00
_cell_angle_gamma 90.00
loop_
_atom_site_label
_atom_site_type_symbol
_atom_site_fract_x
_atom_site_fract_y
_atom_site_fract_z
Ba1 Ba 0.000 0.000 0.000
Sr1 Sr 0.500 0.500 0.000
Ca1 Ca 0.000 0.500 0.500
Ir1 Ir 0.000 0.000 0.500
# raw total energy = -0.12554 Ha/atom
# energy relative to the lowest polymorph listed for this composition = 0.0170 eV/atom
# formation energy = -0.122 eV/atom